No. 1
DFT (PBEsol) results for a relaxed H3PtPb crystal.

```
H3PtPb
1.0
3.769 0.000 0.000
0.000 3.769 0.000
0.000 0.000 3.769
Pb Pt H
1 1 3
direct
0.500 0.500 0.500
0.000 0.000 0.000
0.000 0.000 0.500
0.000 0.500 0.000
0.500 0.000 0.000
```

Space-group type ... No. 221
Total DFT energy (no corrections) ... -20.58 eV per cell


No. 2
DFT (PBEsol) results for a relaxed Ti11H7O24 crystal.

```
Ti11H7O24
1.0
-1.034 -2.644 -0.872
4.223 -4.166 7.626
-11.987 1.987 8.188
O Ti H
24 11 7
direct
0.000 0.265 0.219
0.000 0.464 0.443
0.000 0.466 0.098
0.500 0.035 0.933
0.500 0.545 0.580
0.500 0.728 0.769
0.000 0.288 0.896
0.500 0.193 0.445
0.000 0.746 0.284
0.000 0.968 0.392
0.500 0.221 0.739
0.500 0.055 0.595
0.500 0.513 0.239
0.500 0.720 0.441
0.500 0.223 0.056
0.000 0.295 0.583
0.000 0.782 0.602
0.500 0.962 0.225
0.500 0.734 0.114
0.000 0.963 0.726
0.500 0.540 0.903
0.000 0.775 0.941
0.000 0.970 0.072
0.000 0.474 0.762
0.500 0.377 0.824
0.500 0.350 0.496
0.500 0.868 0.336
0.000 0.642 0.182
0.000 0.153 0.670
0.500 0.860 0.003
0.000 0.143 0.982
0.000 0.645 0.508
0.500 0.864 0.673
0.000 0.641 0.841
0.500 0.329 0.161
0.500 0.094 0.527
0.500 0.534 0.647
0.500 0.503 0.306
0.000 0.481 0.032
0.000 0.069 0.407
0.500 0.886 0.180
0.000 0.989 0.139
```

Space-group type ... No. 6
Total DFT energy (no corrections) ... -344.39 eV per cell


No. 3
DFT (PBEsol) results for a relaxed NiIrOs crystal.

```
NiIrOs
1.0
-3.562 1.003 1.604
-2.950 -2.741 0.232
-1.089 -1.492 3.586
Ir Os Ni
1 1 1
direct
0.250 0.250 0.250
0.500 0.500 0.500
0.000 0.000 0.000
```

ΔH_f (0 K) ... 661 meV per atom
Space-group type ... No. 216
Energy above the most stable polymorph in this dataset ... 661 meV/atom